Material: V2GaMoH
Method: DFT, PBE-GGA
State: optimized geometry Values from VASP.

Structure (Quantum ESPRESSO input):
```
&SYSTEM
  ibrav = 0, nat = 5, ntyp = 4
/
ATOMIC_SPECIES
H 1.01 H.upf
Mo 95.94 Mo.upf
Ga 69.72 Ga.upf
V 50.94 V.upf
ATOMIC_POSITIONS angstrom
H 0.0000 0.0000 0.0000
Mo 1.8513 -0.4402 0.5604
Ga 1.4342 -3.0534 -0.1141
V 0.2354 -1.0508 -1.6029
V -0.6525 -1.5625 0.9284
CELL_PARAMETERS angstrom
-1.3051 -3.1249 1.8568
0.4708 -2.1016 -3.2059
3.7027 -0.8803 1.1209
```

Properties
**Energy**: -7.232 eV per atom
**Spin magnetization**: 0.00 μB per cell